## LuNi2Ir (GGA-PBE)

Data for a relaxed structure of LuNi2Ir.

Results
The value obtained for the offset from the most stable computed form is 106.4 meV per atom.

Cell and atoms, written as CIF:
```
data_LuNi2Ir
_chemical_formula_sum 'Lu4 Ni8 Ir4'
_symmetry_space_group_name_H-M 'F m -3 m'
_symmetry_Int_Tables_number 225
_symmetry_space_group_name_Hall '-F 4 2 3'
_cell_length_a 6.1761
_cell_length_b 6.1761
_cell_length_c 6.1761
_cell_angle_alpha 90.00
_cell_angle_beta 90.00
_cell_angle_gamma 90.00
loop_
_atom_site_label
_atom_site_fract_x
_atom_site_fract_y
_atom_site_fract_z
Lu1 0.0000 0.0000 0.0000
Ni1 0.2500 0.2500 0.2500
Ir1 0.0000 0.0000 0.5000
```


## La3DyRu (GGA-PBE)

Data for a relaxed structure of La3DyRu.

Results
For the total energy, the calculation gives -5.7832 eV/atom.

Cell and atoms, written as CIF:
```
data_La3DyRu
_chemical_formula_sum 'La3 Dy1 Ru1'
_symmetry_space_group_name_H-M 'P m -3 m'
_symmetry_Int_Tables_number 221
_symmetry_space_group_name_Hall '-P 4 2 3'
_cell_length_a 5.5769
_cell_length_b 5.5769
_cell_length_c 5.5769
_cell_angle_alpha 90.00
_cell_angle_beta 90.00
_cell_angle_gamma 90.00
loop_
_atom_site_label
_atom_site_fract_x
_atom_site_fract_y
_atom_site_fract_z
La1 0.0000 0.0000 0.5000
Dy1 0.5000 0.5000 0.5000
Ru1 0.0000 0.0000 0.0000
```


## Ba4Li3Zn (GGA-PBE)

Data for a relaxed structure of Ba4Li3Zn.

Results
For the total energy, the calculation gives -1.8480 eV/atom.

Cell and atoms, written as CIF:
```
data_Ba4Li3Zn
_chemical_formula_sum 'Ba4 Li3 Zn1'
_symmetry_space_group_name_H-M 'P m m 2'
_symmetry_Int_Tables_number 25
_cell_length_a 4.8593
_cell_length_b 5.2612
_cell_length_c 13.1369
_cell_angle_alpha 90.00
_cell_angle_beta 90.00
_cell_angle_gamma 90.00
loop_
_symmetry_equiv_pos_as_xyz
'x,y,z'
'-x,-y,z'
'-x,y,z'
'x,-y,z'
loop_
_atom_site_label
_atom_site_fract_x
_atom_site_fract_y
_atom_site_fract_z
Ba1 0.0000 0.0000 0.0000
Ba2 0.0000 0.5000 0.2678
Ba3 0.5000 0.0000 0.4715
Ba4 0.5000 0.5000 0.7784
Li1 0.0000 0.0000 0.6894
Li2 0.0000 0.5000 0.5655
Li3 0.5000 0.5000 0.0768
Zn1 0.5000 0.0000 0.1889
```


## CdInIr (GGA-PBE)

Data for a relaxed structure of CdInIr.

Results
For the total energy, the calculation gives -4.1945 eV/atom.

Cell and atoms, written as CIF:
```
data_CdInIr
_chemical_formula_sum 'Cd4 In4 Ir4'
_symmetry_space_group_name_H-M 'A m a 2'
_symmetry_Int_Tables_number 40
_cell_length_a 4.5241
_cell_length_b 8.9536
_cell_length_c 6.4379
_cell_angle_alpha 90.00
_cell_angle_beta 90.00
_cell_angle_gamma 90.00
loop_
_symmetry_equiv_pos_as_xyz
'x,y,z'
'-x,-y,z'
'-x+1/2,y,z'
'x+1/2,-y,z'
'x,y+1/2,z+1/2'
'-x,-y+1/2,z+1/2'
'-x+1/2,y+1/2,z+1/2'
'x+1/2,-y+1/2,z+1/2'
loop_
_atom_site_label
_atom_site_fract_x
_atom_site_fract_y
_atom_site_fract_z
Cd1 0.2500 0.1271 0.0000
In1 0.2500 0.1518 0.5184
Ir1 0.2500 0.3925 0.7787
```


## Sm8Ge5Cl (GGA-PBE)

Data for a relaxed structure of Sm8Ge5Cl.

Results
The calculation puts the uncorrected formation energy at -0.875 eV per atom.

Cell and atoms, written as CIF:
```
data_Sm8Ge5Cl
_chemical_formula_sum 'Sm16 Ge10 Cl2'
_symmetry_space_group_name_H-M 'I -4'
_symmetry_Int_Tables_number 82
_cell_length_a 8.9658
_cell_length_b 8.9658
_cell_length_c 9.0831
_cell_angle_alpha 90.00
_cell_angle_beta 90.00
_cell_angle_gamma 90.00
loop_
_symmetry_equiv_pos_as_xyz
'x,y,z'
'y,-x,-z'
'-x,-y,z'
'-y,x,-z'
'x+1/2,y+1/2,z+1/2'
'y+1/2,-x+1/2,-z+1/2'
'-x+1/2,-y+1/2,z+1/2'
'-y+1/2,x+1/2,-z+1/2'
loop_
_atom_site_label
_atom_site_fract_x
_atom_site_fract_y
_atom_site_fract_z
Sm1 0.0683 0.3184 0.0556
Sm2 0.0724 0.1882 0.6814
Ge1 0.0000 0.5000 0.7500
Ge2 0.1258 0.2509 0.3699
Cl1 0.0000 0.0000 0.0000
```


## Dy2Sc2Se3S2 (GGA-PBE)

Data for a relaxed structure of Dy2Sc2Se3S2.

Results
The calculation puts the uncorrected formation energy at -1.414 eV per atom.

Cell and atoms, written as CIF:
```
data_Dy2Sc2Se3S2
_chemical_formula_sum 'Dy4 Sc4 Se6 S4'
_symmetry_space_group_name_H-M 'I 4/m m m'
_symmetry_Int_Tables_number 139
_symmetry_space_group_name_Hall '-I 4 2'
_cell_length_a 5.4037
_cell_length_b 5.4037
_cell_length_c 14.0948
_cell_angle_alpha 90.00
_cell_angle_beta 90.00
_cell_angle_gamma 90.00
loop_
_atom_site_label
_atom_site_fract_x
_atom_site_fract_y
_atom_site_fract_z
Dy1 0.0000 0.0000 0.2082
Sc1 0.0000 0.5000 0.0000
Se1 0.0000 0.0000 0.0000
Se2 0.0000 0.5000 0.2500
S1 0.0000 0.0000 0.4013
```


## CeEuGd2 (GGA-PBE)

Data for a relaxed structure of CeEuGd2.

Results
The value obtained for the offset from the most stable computed form is 16.8 meV per atom.

Cell and atoms, written as CIF:
```
data_CeEuGd2
_chemical_formula_sum 'Ce1 Eu1 Gd2'
_symmetry_space_group_name_H-M 'P 4/m m m'
_symmetry_Int_Tables_number 123
_symmetry_space_group_name_Hall '-P 4 2'
_cell_length_a 4.1748
_cell_length_b 4.1748
_cell_length_c 7.9022
_cell_angle_alpha 90.00
_cell_angle_beta 90.00
_cell_angle_gamma 90.00
loop_
_atom_site_label
_atom_site_fract_x
_atom_site_fract_y
_atom_site_fract_z
Ce1 0.0000 0.0000 0.0000
Eu1 0.0000 0.0000 0.5000
Gd1 0.5000 0.5000 0.2202
```


## PaP2Pd (GGA-PBE)

Data for a relaxed structure of PaP2Pd.

Results
For the total energy, the calculation gives -7.1898 eV/atom.

Cell and atoms, written as CIF:
```
data_PaP2Pd
_chemical_formula_sum 'Pa1 P2 Pd1'
_symmetry_space_group_name_H-M 'P 4/m m m'
_symmetry_Int_Tables_number 123
_symmetry_space_group_name_Hall '-P 4 2'
_cell_length_a 4.3985
_cell_length_b 4.3985
_cell_length_c 3.6037
_cell_angle_alpha 90.00
_cell_angle_beta 90.00
_cell_angle_gamma 90.00
loop_
_atom_site_label
_atom_site_fract_x
_atom_site_fract_y
_atom_site_fract_z
Pa1 0.0000 0.0000 0.0000
P1 0.0000 0.5000 0.5000
Pd1 0.5000 0.5000 0.0000
```


## La3Cu4Sn4 (GGA-PBE)

Data for a relaxed structure of La3Cu4Sn4.

Results
The value obtained for the offset from the most stable computed form is 0.0 meV per atom.

Cell and atoms, written as CIF:
```
data_La3Cu4Sn4
_chemical_formula_sum 'La6 Cu8 Sn8'
_symmetry_space_group_name_H-M 'I m m m'
_symmetry_Int_Tables_number 71
_symmetry_space_group_name_Hall '-I 2 2'
_cell_length_a 4.6738
_cell_length_b 7.1032
_cell_length_c 15.3412
_cell_angle_alpha 90.00
_cell_angle_beta 90.00
_cell_angle_gamma 90.00
loop_
_atom_site_label
_atom_site_fract_x
_atom_site_fract_y
_atom_site_fract_z
La1 0.0000 0.0000 0.0000
La2 0.0000 0.5000 0.1347
Cu1 0.0000 0.3199 0.3344
Sn1 0.0000 0.0000 0.2171
Sn2 0.0000 0.1986 0.5000
```


## AcZn3Ag3 (GGA-PBE)

Data for a relaxed structure of AcZn3Ag3.

Results
The value obtained for the offset from the most stable computed form is 84.5 meV per atom.

Cell and atoms, written as CIF:
```
data_AcZn3Ag3
_chemical_formula_sum 'Ac6 Zn18 Ag18'
_symmetry_space_group_name_H-M 'R -3'
_symmetry_Int_Tables_number 148
_symmetry_space_group_name_Hall '-R 3'
_cell_length_a 7.3566
_cell_length_b 7.3566
_cell_length_c 19.3150
_cell_angle_alpha 90.00
_cell_angle_beta 90.00
_cell_angle_gamma 120.00
loop_
_atom_site_label
_atom_site_fract_x
_atom_site_fract_y
_atom_site_fract_z
Ac1 0.0000 0.0000 0.1624
Zn1 0.0069 0.5961 0.3711
Ag1 0.0068 0.2274 0.4292
```


## Pd3RuAu (GGA-PBE)

Data for a relaxed structure of Pd3RuAu.

Results
The value obtained for the offset from the most stable computed form is 391.5 meV per atom.

Cell and atoms, written as CIF:
```
data_Pd3RuAu
_chemical_formula_sum 'Pd3 Ru1 Au1'
_symmetry_space_group_name_H-M 'P m -3 m'
_symmetry_Int_Tables_number 221
_symmetry_space_group_name_Hall '-P 4 2 3'
_cell_length_a 4.9051
_cell_length_b 4.9051
_cell_length_c 4.9051
_cell_angle_alpha 90.00
_cell_angle_beta 90.00
_cell_angle_gamma 90.00
loop_
_atom_site_label
_atom_site_fract_x
_atom_site_fract_y
_atom_site_fract_z
Pd1 0.0000 0.0000 0.5000
Ru1 0.5000 0.5000 0.5000
Au1 0.0000 0.0000 0.0000
```


## Pa4Se5O4 (GGA-PBE)

Data for a relaxed structure of Pa4Se5O4.

Results
The calculation puts the uncorrected formation energy at -2.322 eV per atom.

Cell and atoms, written as CIF:
```
data_Pa4Se5O4
_chemical_formula_sum 'Pa8 Se10 O8'
_symmetry_space_group_name_H-M 'I 4/m'
_symmetry_Int_Tables_number 87
_symmetry_space_group_name_Hall '-I 4'
_cell_length_a 11.0624
_cell_length_b 11.0624
_cell_length_c 3.8844
_cell_angle_alpha 90.00
_cell_angle_beta 90.00
_cell_angle_gamma 90.00
loop_
_atom_site_label
_atom_site_fract_x
_atom_site_fract_y
_atom_site_fract_z
Pa1 0.0442 0.7152 0.0000
Se1 0.0000 0.0000 0.0000
Se2 0.1355 0.1997 0.5000
O1 0.0758 0.6130 0.5000
```


## In2Fe (GGA-PBE)

Data for a relaxed structure of In2Fe.

Results
For the total energy, the calculation gives -4.3006 eV/atom.

Cell and atoms, written as CIF:
```
data_In2Fe
_chemical_formula_sum 'In2 Fe1'
_symmetry_space_group_name_H-M 'P -3 m 1'
_symmetry_Int_Tables_number 164
_symmetry_space_group_name_Hall '-P 3 2"'
_cell_length_a 3.1646
_cell_length_b 3.1646
_cell_length_c 6.9180
_cell_angle_alpha 90.00
_cell_angle_beta 90.00
_cell_angle_gamma 120.00
loop_
_atom_site_label
_atom_site_fract_x
_atom_site_fract_y
_atom_site_fract_z
In1 0.3333 0.6667 0.3033
Fe1 0.0000 0.0000 0.0000
```


## KCa2As (GGA-PBE)

Data for a relaxed structure of KCa2As.

Results
For the total energy, the calculation gives -2.4390 eV/atom.

Cell and atoms, written as CIF:
```
data_KCa2As
_chemical_formula_sum 'K2 Ca4 As2'
_symmetry_space_group_name_H-M 'C 1 2/m 1'
_symmetry_Int_Tables_number 12
_cell_length_a 7.2905
_cell_length_b 11.1750
_cell_length_c 3.7161
_cell_angle_alpha 90.00
_cell_angle_beta 118.59
_cell_angle_gamma 90.00
loop_
_symmetry_equiv_pos_as_xyz
'x,y,z'
'-x,-y,-z'
'-x,y,-z'
'x,-y,z'
'x+1/2,y+1/2,z'
'-x+1/2,-y+1/2,-z'
'-x+1/2,y+1/2,-z'
'x+1/2,-y+1/2,z'
loop_
_atom_site_label
_atom_site_fract_x
_atom_site_fract_y
_atom_site_fract_z
K1 0.0000 0.0000 0.0000
Ca1 0.2500 0.2500 0.5000
As1 0.0000 0.5000 0.0000
```


## Y2InSi2 (GGA-PBE)

Data for a relaxed structure of Y2InSi2.

Results
The calculation puts the uncorrected formation energy at -0.420 eV per atom.

Cell and atoms, written as CIF:
```
data_Y2InSi2
_chemical_formula_sum 'Y4 In2 Si4'
_symmetry_space_group_name_H-M 'I 4/m m m'
_symmetry_Int_Tables_number 139
_symmetry_space_group_name_Hall '-I 4 2'
_cell_length_a 3.6119
_cell_length_b 3.6119
_cell_length_c 17.9757
_cell_angle_alpha 90.00
_cell_angle_beta 90.00
_cell_angle_gamma 90.00
loop_
_atom_site_label
_atom_site_fract_x
_atom_site_fract_y
_atom_site_fract_z
Y1 0.0000 0.0000 0.1175
In1 0.0000 0.0000 0.5000
Si1 0.0000 0.5000 0.2500
```


## Ta8Nb2Pt (GGA-PBE)

Data for a relaxed structure of Ta8Nb2Pt.

Results
For the total energy, the calculation gives -10.9295 eV/atom.

Cell and atoms, written as CIF:
```
data_Ta8Nb2Pt
_chemical_formula_sum 'Ta8 Nb2 Pt1'
_symmetry_space_group_name_H-M 'P 1 2/m 1'
_symmetry_Int_Tables_number 10
_cell_length_a 6.6271
_cell_length_b 4.5866
_cell_length_c 6.9641
_cell_angle_alpha 90.00
_cell_angle_beta 103.04
_cell_angle_gamma 90.00
loop_
_symmetry_equiv_pos_as_xyz
'x,y,z'
'-x,-y,-z'
'-x,y,-z'
'x,-y,z'
loop_
_atom_site_label
_atom_site_fract_x
_atom_site_fract_y
_atom_site_fract_z
Ta1 0.0802 0.0000 0.3277
Ta2 0.1755 0.5000 0.6747
Ta3 0.2684 0.0000 0.0015
Ta4 0.3390 0.5000 0.3151
Nb1 0.4115 0.0000 0.6621
Pt1 0.0000 0.5000 0.0000
```


## Pr6SiBi2Te3 (GGA-PBE)

Data for a relaxed structure of Pr6SiBi2Te3.

Results
The calculation puts the uncorrected formation energy at -1.196 eV per atom.

Cell and atoms, written as CIF:
```
data_Pr6SiBi2Te3
_chemical_formula_sum 'Pr12 Si2 Bi4 Te6'
_symmetry_space_group_name_H-M 'C 1 2/m 1'
_symmetry_Int_Tables_number 12
_cell_length_a 19.8469
_cell_length_b 4.5224
_cell_length_c 9.1347
_cell_angle_alpha 90.00
_cell_angle_beta 103.18
_cell_angle_gamma 90.00
loop_
_symmetry_equiv_pos_as_xyz
'x,y,z'
'-x,-y,-z'
'-x,y,-z'
'x,-y,z'
'x+1/2,y+1/2,z'
'-x+1/2,-y+1/2,-z'
'-x+1/2,y+1/2,-z'
'x+1/2,-y+1/2,z'
loop_
_atom_site_label
_atom_site_fract_x
_atom_site_fract_y
_atom_site_fract_z
Pr1 0.0010 0.0000 0.2756
Pr2 0.1544 0.5000 0.5773
Pr3 0.1654 0.5000 0.0821
Si1 0.0000 0.5000 0.5000
Bi1 0.1666 0.0000 0.8336
Te1 0.0000 0.5000 0.0000
Te2 0.1703 0.0000 0.3354
```


## Tl3Cl (GGA-PBE)

Data for a relaxed structure of Tl3Cl.

Results
The value obtained for the offset from the most stable computed form is 57.0 meV per atom. The calculation puts the uncorrected formation energy at -0.319 eV per atom.

Cell and atoms, written as CIF:
```
data_Tl3Cl
_chemical_formula_sum 'Tl3 Cl1'
_symmetry_space_group_name_H-M 'P m -3 m'
_symmetry_Int_Tables_number 221
_symmetry_space_group_name_Hall '-P 4 2 3'
_cell_length_a 4.9776
_cell_length_b 4.9776
_cell_length_c 4.9776
_cell_angle_alpha 90.00
_cell_angle_beta 90.00
_cell_angle_gamma 90.00
loop_
_atom_site_label
_atom_site_fract_x
_atom_site_fract_y
_atom_site_fract_z
Tl1 0.0000 0.0000 0.5000
Cl1 0.5000 0.5000 0.5000
```


## Ca2In2B (GGA-PBE)

Data for a relaxed structure of Ca2In2B.

Results
The value obtained for the offset from the most stable computed form is 0.0 meV per atom.

Cell and atoms, written as CIF:
```
data_Ca2In2B
_chemical_formula_sum 'Ca4 In4 B2'
_symmetry_space_group_name_H-M 'P 4/m b m'
_symmetry_Int_Tables_number 127
_symmetry_space_group_name_Hall '-P 4 2ab'
_cell_length_a 6.8958
_cell_length_b 6.8958
_cell_length_c 5.1485
_cell_angle_alpha 90.00
_cell_angle_beta 90.00
_cell_angle_gamma 90.00
loop_
_atom_site_label
_atom_site_fract_x
_atom_site_fract_y
_atom_site_fract_z
Ca1 0.1695 0.3305 0.0000
In1 0.1507 0.6507 0.5000
B1 0.0000 0.0000 0.5000
```


## ReAgAs2 (GGA-PBE)

Data for a relaxed structure of ReAgAs2.

Results
The value obtained for the offset from the most stable computed form is 69.2 meV per atom.

Cell and atoms, written as CIF:
```
data_ReAgAs2
_chemical_formula_sum 'Re2 Ag2 As4'
_symmetry_space_group_name_H-M 'C 1 m 1'
_symmetry_Int_Tables_number 8
_cell_length_a 8.4976
_cell_length_b 3.2471
_cell_length_c 5.6155
_cell_angle_alpha 90.00
_cell_angle_beta 92.78
_cell_angle_gamma 90.00
loop_
_symmetry_equiv_pos_as_xyz
'x,y,z'
'x,-y,z'
'x+1/2,y+1/2,z'
'x+1/2,-y+1/2,z'
loop_
_atom_site_label
_atom_site_fract_x
_atom_site_fract_y
_atom_site_fract_z
Re1 0.0000 0.0000 0.0000
Ag1 0.3846 0.5000 0.5071
As1 0.1021 0.5000 0.2975
As2 0.2830 0.0000 0.9001
```